No. 1
A plane-wave DFT calculation with PBE was carried out for a geometry-optimized Ac2NdYS4 structure.

Computed properties:
- Crystal system: monoclinic
- DOS at the Fermi energy: 4.62 states/eV per cell
- Calculated total energy: -6.490 eV/atom
- Density: 6.70 Mg/m³
- Spin magnetization: 0.00 μB/cell

Cell and atoms, written as CIF:
```
data_Ac2NdYS4
_chemical_formula_sum 'Ac2 Nd1 Y1 S4'
_cell_length_a 7.131
_cell_length_b 4.083
_cell_length_c 7.329
_cell_angle_alpha 90.00
_cell_angle_beta 108.69
_cell_angle_gamma 90.00
_symmetry_space_group_name_H-M 'P 1 2/m 1'
_symmetry_Int_Tables_number 10
loop_
_symmetry_equiv_pos_as_xyz
'x,y,z'
'-x,-y,-z'
'-x,y,-z'
'x,-y,z'
loop_
_atom_site_label
_atom_site_fract_x
_atom_site_fract_y
_atom_site_fract_z
_atom_site_occupancy
Ac1 0.000 0.000 0.000 1
Ac2 0.500 0.500 0.000 1
Nd1 0.000 0.500 0.500 1
Y1 0.500 0.000 0.500 1
S1 0.250 0.000 0.729 1
S2 0.266 0.500 0.276 1
```

No. 2
A plane-wave DFT calculation with PBE was carried out for a geometry-optimized Ac4NdY3S8 structure.

Computed properties:
- Crystal system: trigonal
- DOS at the Fermi energy: 22.42 states/eV per cell
- Calculated total energy: -6.592 eV/atom
- Density: 6.56 Mg/m³
- Spin magnetization: 0.00 μB/cell

Cell and atoms, written as CIF:
```
data_Ac4NdY3S8
_chemical_formula_sum 'Ac12 Nd3 Y9 S24'
_cell_length_a 8.1505
_cell_length_b 8.1505
_cell_length_c 20.7998
_cell_angle_alpha 90.00
_cell_angle_beta 90.00
_cell_angle_gamma 120.00
_symmetry_space_group_name_H-M 'R -3 m'
_symmetry_Int_Tables_number 166
_symmetry_space_group_name_Hall '-R 3 2"'
loop_
_atom_site_label
_atom_site_fract_x
_atom_site_fract_y
_atom_site_fract_z
_atom_site_occupancy
Ac1 0.0000 0.0000 0.0000 1
Ac2 0.0000 0.5000 0.0000 1
Nd1 0.0000 0.0000 0.5000 1
Y1 0.0000 0.5000 0.5000 1
S1 0.0000 0.0000 0.2398 1
S2 0.0070 0.5035 0.7588 1
```

No. 3
A plane-wave DFT calculation with PBE was carried out for a geometry-optimized AcNd2Sb structure.

Computed properties:
- Crystal system: tetragonal
- DOS at the Fermi energy: 6.81 states/eV per cell
- Calculated total energy: -4.953 eV/atom
- Density: 7.92 Mg/m³
- Spin magnetization: 0.00 μB/cell

Cell and atoms, written as CIF:
```
data_AcNd2Sb
_chemical_formula_sum 'Ac1 Nd2 Sb1'
_cell_length_a 4.119
_cell_length_b 4.119
_cell_length_c 7.876
_cell_angle_alpha 90.00
_cell_angle_beta 90.00
_cell_angle_gamma 90.00
_symmetry_space_group_name_H-M 'P 4/m m m'
_symmetry_Int_Tables_number 123
_symmetry_space_group_name_Hall '-P 4 2'
loop_
_atom_site_label
_atom_site_fract_x
_atom_site_fract_y
_atom_site_fract_z
_atom_site_occupancy
Ac1 0.000 0.000 0.000 1
Nd1 0.500 0.500 0.295 1
Sb1 0.000 0.000 0.500 1
```

No. 4
A plane-wave DFT calculation with PBE was carried out for a geometry-optimized AcNd2Sb structure.

Computed properties:
- Crystal system: tetragonal
- DOS at the Fermi energy: 3.75 states/eV per cell
- Calculated total energy: -4.944 eV/atom
- Density: 8.22 Mg/m³
- Spin magnetization: 0.00 μB/cell

Cell and atoms, written as CIF:
```
data_AcNd2Sb
_chemical_formula_sum 'Ac1 Nd2 Sb1'
_cell_length_a 5.088
_cell_length_b 5.088
_cell_length_c 4.973
_cell_angle_alpha 90.00
_cell_angle_beta 90.00
_cell_angle_gamma 90.00
_symmetry_space_group_name_H-M 'P 4/m m m'
_symmetry_Int_Tables_number 123
_symmetry_space_group_name_Hall '-P 4 2'
loop_
_atom_site_label
_atom_site_fract_x
_atom_site_fract_y
_atom_site_fract_z
_atom_site_occupancy
Ac1 0.000 0.000 0.000 1
Nd1 0.000 0.500 0.500 1
Sb1 0.500 0.500 0.000 1
```

No. 5
A plane-wave DFT calculation with PBE was carried out for a geometry-optimized Ac2NdSb structure.

Computed properties:
- Crystal system: cubic
- DOS at the Fermi energy: 24.42 states/eV per cell
- Calculated total energy: -4.490 eV/atom
- Density: 8.28 Mg/m³
- Spin magnetization: 1.07 μB/cell

Cell and atoms, written as CIF:
```
data_Ac2NdSb
_chemical_formula_sum 'Ac8 Nd4 Sb4'
_cell_length_a 8.330
_cell_length_b 8.330
_cell_length_c 8.330
_cell_angle_alpha 90.00
_cell_angle_beta 90.00
_cell_angle_gamma 90.00
_symmetry_space_group_name_H-M 'F m -3 m'
_symmetry_Int_Tables_number 225
_symmetry_space_group_name_Hall '-F 4 2 3'
loop_
_atom_site_label
_atom_site_fract_x
_atom_site_fract_y
_atom_site_fract_z
_atom_site_occupancy
Ac1 0.250 0.250 0.250 1
Nd1 0.000 0.000 0.000 1
Sb1 0.000 0.000 0.500 1
```

No. 6
A plane-wave DFT calculation with PBE was carried out for a geometry-optimized AcNdSb structure.

Computed properties:
- Crystal system: tetragonal
- DOS at the Fermi energy: 7.50 states/eV per cell
- Calculated total energy: -4.966 eV/atom
- Density: 8.01 Mg/m³
- Spin magnetization: 0.82 μB/cell

Cell and atoms, written as CIF:
```
data_AcNdSb
_chemical_formula_sum 'Ac2 Nd2 Sb2'
_cell_length_a 4.220
_cell_length_b 4.220
_cell_length_c 11.482
_cell_angle_alpha 90.00
_cell_angle_beta 90.00
_cell_angle_gamma 90.00
_symmetry_space_group_name_H-M 'I 4 m m'
_symmetry_Int_Tables_number 107
_symmetry_space_group_name_Hall 'I 4 -2'
loop_
_atom_site_label
_atom_site_fract_x
_atom_site_fract_y
_atom_site_fract_z
_atom_site_occupancy
Ac1 0.000 0.000 0.000 1
Nd1 0.000 0.000 0.704 1
Sb1 0.000 0.000 0.326 1
```

No. 7
A plane-wave DFT calculation with PBE was carried out for a geometry-optimized AcNd2Sb structure.

Computed properties:
- Crystal system: trigonal
- DOS at the Fermi energy: 16.99 states/eV per cell
- Calculated total energy: -4.652 eV/atom
- Density: 6.44 Mg/m³
- Spin magnetization: 2.40 μB/cell

Cell and atoms, written as CIF:
```
data_AcNd2Sb
_chemical_formula_sum 'Ac3 Nd6 Sb3'
_cell_length_a 4.0929
_cell_length_b 4.0929
_cell_length_c 33.9807
_cell_angle_alpha 90.00
_cell_angle_beta 90.00
_cell_angle_gamma 120.00
_symmetry_space_group_name_H-M 'R -3 m'
_symmetry_Int_Tables_number 166
_symmetry_space_group_name_Hall '-R 3 2"'
loop_
_atom_site_label
_atom_site_fract_x
_atom_site_fract_y
_atom_site_fract_z
_atom_site_occupancy
Ac1 0.0000 0.0000 0.0000 1
Nd1 0.0000 0.0000 0.1091 1
Sb1 0.0000 0.0000 0.5000 1
```

No. 8
A plane-wave DFT calculation with PBE was carried out for a geometry-optimized AcNdSb structure.

Computed properties:
- Crystal system: trigonal
- DOS at the Fermi energy: 3.53 states/eV per cell
- Calculated total energy: -4.802 eV/atom
- Density: 7.54 Mg/m³
- Spin magnetization: 0.00 μB/cell

Cell and atoms, written as CIF:
```
data_AcNdSb
_chemical_formula_sum 'Ac1 Nd1 Sb1'
_cell_length_a 5.3255
_cell_length_b 5.3255
_cell_length_c 4.4176
_cell_angle_alpha 90.00
_cell_angle_beta 90.00
_cell_angle_gamma 120.00
_symmetry_space_group_name_H-M 'P 3 m 1'
_symmetry_Int_Tables_number 156
loop_
_symmetry_equiv_pos_as_xyz
'x,y,z'
'-y,x-y,z'
'-x+y,-x,z'
'-y,-x,z'
'-x+y,y,z'
'x,x-y,z'
loop_
_atom_site_label
_atom_site_fract_x
_atom_site_fract_y
_atom_site_fract_z
_atom_site_occupancy
Ac1 0.0000 0.0000 0.0000 1
Nd1 0.3333 0.6667 0.4890 1
Sb1 0.6667 0.3333 0.5735 1
```

No. 9
A plane-wave DFT calculation with PBE was carried out for a geometry-optimized AcNdSb2 structure.

Computed properties:
- Crystal system: tetragonal
- DOS at the Fermi energy: 1.95 states/eV per cell
- Calculated total energy: -5.190 eV/atom
- Density: 8.10 Mg/m³
- Spin magnetization: 0.00 μB/cell

Cell and atoms, written as CIF:
```
data_AcNdSb2
_chemical_formula_sum 'Ac1 Nd1 Sb2'
_cell_length_a 5.982
_cell_length_b 5.982
_cell_length_c 3.522
_cell_angle_alpha 90.00
_cell_angle_beta 90.00
_cell_angle_gamma 90.00
_symmetry_space_group_name_H-M 'P 4/m m m'
_symmetry_Int_Tables_number 123
_symmetry_space_group_name_Hall '-P 4 2'
loop_
_atom_site_label
_atom_site_fract_x
_atom_site_fract_y
_atom_site_fract_z
_atom_site_occupancy
Ac1 0.000 0.000 0.000 1
Nd1 0.500 0.500 0.000 1
Sb1 0.000 0.500 0.500 1
```

No. 10
A plane-wave DFT calculation with PBE was carried out for a geometry-optimized Ac3NdSb3 structure.

Computed properties:
- Crystal system: cubic
- DOS at the Fermi energy: 5.64 states/eV per cell
- Calculated total energy: -5.111 eV/atom
- Density: 6.93 Mg/m³
- Spin magnetization: 0.00 μB/cell

Cell and atoms, written as CIF:
```
data_Ac3NdSb3
_chemical_formula_sum 'Ac3 Nd1 Sb3'
_cell_length_a 6.584
_cell_length_b 6.584
_cell_length_c 6.584
_cell_angle_alpha 90.00
_cell_angle_beta 90.00
_cell_angle_gamma 90.00
_symmetry_space_group_name_H-M 'P m -3 m'
_symmetry_Int_Tables_number 221
_symmetry_space_group_name_Hall '-P 4 2 3'
loop_
_atom_site_label
_atom_site_fract_x
_atom_site_fract_y
_atom_site_fract_z
_atom_site_occupancy
Ac1 0.000 0.000 0.500 1
Nd1 0.500 0.500 0.500 1
Sb1 0.000 0.500 0.500 1
```

No. 11
A plane-wave DFT calculation with PBE was carried out for a geometry-optimized Ac2NdSb structure.

Computed properties:
- Crystal system: tetragonal
- DOS at the Fermi energy: 3.36 states/eV per cell
- Calculated total energy: -4.746 eV/atom
- Density: 8.65 Mg/m³
- Spin magnetization: 0.00 μB/cell

Cell and atoms, written as CIF:
```
data_Ac2NdSb
_chemical_formula_sum 'Ac2 Nd1 Sb1'
_cell_length_a 5.206
_cell_length_b 5.206
_cell_length_c 5.102
_cell_angle_alpha 90.00
_cell_angle_beta 90.00
_cell_angle_gamma 90.00
_symmetry_space_group_name_H-M 'P 4/m m m'
_symmetry_Int_Tables_number 123
_symmetry_space_group_name_Hall '-P 4 2'
loop_
_atom_site_label
_atom_site_fract_x
_atom_site_fract_y
_atom_site_fract_z
_atom_site_occupancy
Ac1 0.000 0.500 0.000 1
Nd1 0.000 0.000 0.500 1
Sb1 0.500 0.500 0.500 1
```

No. 12
A plane-wave DFT calculation with PBE was carried out for a geometry-optimized AcNd2Sb structure.

Computed properties:
- Crystal system: trigonal
- DOS at the Fermi energy: 11.43 states/eV per cell
- Calculated total energy: -4.871 eV/atom
- Density: 6.93 Mg/m³
- Spin magnetization: 0.19 μB/cell

Cell and atoms, written as CIF:
```
data_AcNd2Sb
_chemical_formula_sum 'Ac3 Nd6 Sb3'
_cell_length_a 4.2077
_cell_length_b 4.2077
_cell_length_c 29.8868
_cell_angle_alpha 90.00
_cell_angle_beta 90.00
_cell_angle_gamma 120.00
_symmetry_space_group_name_H-M 'R 3 m'
_symmetry_Int_Tables_number 160
_symmetry_space_group_name_Hall 'R 3 -2"'
loop_
_atom_site_label
_atom_site_fract_x
_atom_site_fract_y
_atom_site_fract_z
_atom_site_occupancy
Ac1 0.0000 0.0000 0.0000 1
Nd1 0.0000 0.0000 0.2316 1
Nd2 0.0000 0.0000 0.4356 1
Sb1 0.0000 0.0000 0.8339 1
```